A relaxed FeCuSi2 crystal. Source: the Alexandria database, functional GGA-PBEsol.

```
FeCuSi2
1.0
-1.8264 1.8264 3.3517
1.8264 -1.8264 3.3517
1.8264 1.8264 -3.3517
Fe Cu Si
1 1 2
Cartesian
0.0000 0.0000 0.0000
0.0000 0.0000 3.3517
1.8264 0.0000 1.6758
0.0000 1.8264 1.6758
```

Results
Calculated volume = 44.7 Å³/cell
SG = No. 139
Calculated total energy = -25.3 eV for the cell shown

A relaxed Ru3Rh crystal. Source: the Alexandria database, functional GGA-PBEsol.

```
Ru3Rh
1.0
5.3385 0.0000 0.0000
0.0000 12.9656 0.0000
0.0000 0.0000 4.6288
Ru Rh
18 6
Cartesian
0.0038 1.1135 0.7759
0.0046 3.2414 2.3173
0.0038 5.3693 0.7759
1.3346 3.2414 4.6288
1.3346 7.5784 1.5417
1.3346 11.8700 1.5417
2.6654 1.1135 0.7759
2.6646 3.2414 2.3173
2.6654 5.3693 0.7759
2.6730 7.5963 3.8529
2.6738 9.7242 2.3116
2.6730 11.8521 3.8529
4.0038 1.0956 3.0872
4.0038 5.3872 3.0872
4.0038 9.7242 0.0000
5.3347 7.5963 3.8529
5.3338 9.7242 2.3116
5.3347 11.8521 3.8529
1.3346 1.0899 3.0844
1.3346 5.3929 3.0844
1.3346 9.7242 0.0088
4.0038 3.2414 4.6200
4.0038 7.5727 1.5444
4.0038 11.8757 1.5444
```

Results
Calculated volume = 320.4 Å³/cell
DFT formation energy = 0.068 eV per atom
SG = No. 59
Calculated total energy = -230.3 eV for the cell shown

A relaxed InPW2 crystal. Source: the Alexandria database, functional GGA-PBEsol.

```
InPW2
1.0
4.5547 -1.5679 0.0000
4.5547 1.5679 0.0000
-1.4775 0.0000 4.5625
In P W
1 1 2
Cartesian
0.0000 0.0000 0.0000
6.2643 0.0000 1.7788
1.0393 0.0000 3.5331
3.6335 0.0000 2.1785
```

Results
Calculated volume = 65.2 Å³/cell
DFT formation energy = 0.414 eV per atom
SG = No. 8
Calculated total energy = -34.7 eV for the cell shown
Energy above the most stable polymorph in this dataset = 0.129 eV/atom

A relaxed BaCrCo2 crystal. Source: the Alexandria database, functional GGA-PBEsol.

```
BaCrCo2
1.0
-1.9598 1.9598 4.4165
1.9598 -1.9598 4.4165
1.9598 1.9598 -4.4165
Ba Cr Co
1 1 2
Cartesian
0.0000 0.0000 0.0000
1.9598 0.0000 2.2082
0.0000 0.0000 4.4165
0.0000 1.9598 2.2082
```

Results
Calculated volume = 67.9 Å³/cell
DFT formation energy = 1.258 eV per atom
SG = No. 119
Calculated total energy = -22.8 eV for the cell shown
Energy above the most stable polymorph in this dataset = 0.000 eV/atom

A relaxed Fe2CoNi crystal. Source: the Alexandria database, functional GGA-PBEsol.

```
Fe2CoNi
1.0
1.4468 -1.9447 0.0000
1.4468 1.9447 0.0000
0.0000 0.0000 7.7061
Fe Co Ni
2 1 1
Cartesian
0.0000 0.0000 1.9185
0.0000 0.0000 5.7876
1.4468 0.0000 3.8530
1.4468 0.0000 0.0000
```

Results
Calculated volume = 43.4 Å³/cell
DFT formation energy = 0.035 eV per atom
SG = No. 65
Calculated total energy = -31.7 eV for the cell shown
Energy above the most stable polymorph in this dataset = 0.020 eV/atom

A relaxed Ge3TeBr crystal. Source: the Alexandria database, functional GGA-PBEsol.

```
Ge3TeBr
1.0
5.4654 0.0000 0.0000
0.0000 5.4654 0.0000
0.0000 0.0000 5.4654
Ge Te Br
3 1 1
Cartesian
0.0000 0.0000 2.7327
0.0000 2.7327 0.0000
2.7327 0.0000 0.0000
0.0000 0.0000 0.0000
2.7327 2.7327 2.7327
```

Results
Calculated volume = 163.3 Å³/cell
SG = No. 221
Calculated total energy = -15.7 eV for the cell shown